1.
Density functional theory data (PBE+U) for an optimized crystal structure of PmNi2GeO6.

The space group is P1 (No. 1) and the conventional cell measures 5.1334, 5.2111 and 5.5687 Å, with angles of 62.13, 64.08 and 61.69 degrees. The asymmetric unit holds Pm at (0.0000, 0.0000, 0.0000), Ni at (0.2165, 0.2088, 0.3566), Ni at (0.7252, 0.7250, 0.8127), Ge at (0.5243, 0.5285, 0.4217), O at (0.1402, 0.8058, 0.5975), O at (0.3671, 0.5455, 0.1494), O at (0.4392, 0.1416, 0.6057), O at (0.5542, 0.9181, 0.1353), O at (0.7893, 0.4465, 0.6162) and O at (0.9215, 0.3715, 0.1495).

Its total energy is -6.132 eV/atom.



2.
Density functional theory data (PBE+U) for an optimized crystal structure of Pm2NiGeO6.

The space group is P2_1/c (No. 14) and the conventional cell measures 5.4165, 5.6135 and 9.4201 Å, with angles of 90.00, 124.92 and 90.00 degrees. The asymmetric unit holds Pm at (0.2346, 0.0582, 0.2494), Ni at (0.0000, 0.0000, 0.5000), Ge at (0.5000, 0.0000, 0.0000), O at (0.1683, 0.1930, 0.9537), O at (0.2577, 0.7152, 0.9496) and O at (0.3527, 0.0261, 0.7604).

Its total energy is -7.128 eV/atom.



3.
Density functional theory data (PBE+U) for an optimized crystal structure of Rb2NiGeO4.

The space group is Fddd (No. 70, origin choice 2) and the conventional cell measures 5.2617, 12.1185 and 20.2723 Å, with angles of 90.00, 90.00 and 90.00 degrees. The asymmetric unit holds Rb at (0.1250, 0.1250, 0.3000), Ni at (0.1250, 0.1250, 0.1250), Ge at (0.1250, 0.1250, 0.6250) and O at (0.1005, 0.2916, 0.8312).

Its total energy is -5.061 eV/atom.



4.
Density functional theory data (PBE+U) for an optimized crystal structure of Ni2GeRuO6.

The space group is R3 (No. 146, hexagonal axes) and the conventional cell measures 5.0882, 5.0882 and 13.6820 Å, with angles of 90.00, 90.00 and 120.00 degrees. The asymmetric unit holds Ni at (0.0000, 0.0000, 0.0000), Ni at (0.0000, 0.0000, 0.4990), Ge at (0.0000, 0.0000, 0.7045), Ru at (0.0000, 0.0000, 0.2014), O at (0.0345, 0.3425, 0.7701) and O at (0.0435, 0.6864, 0.2750).

Its total energy is -5.994 eV/atom.



5.
Density functional theory data (PBE+U) for an optimized crystal structure of NiGeSbO6.

The space group is P-31c (No. 163) and the conventional cell measures 5.1154, 5.1154 and 8.7256 Å, with angles of 90.00, 90.00 and 120.00 degrees. The asymmetric unit holds Ni at (0.0000, 0.0000, 0.0000), Ge at (0.3333, 0.6667, 0.2500), Sb at (0.3333, 0.6667, 0.7500) and O at (0.0136, 0.3556, 0.1305).

Its total energy is -5.775 eV/atom.



6.
Density functional theory data (PBE+U) for an optimized crystal structure of Ni2GeSbO6.

The space group is P4mm (No. 99) and the conventional cell measures 5.3247, 5.3247 and 4.7497 Å, with angles of 90.00, 90.00 and 90.00 degrees. The asymmetric unit holds Ni at (0.0000, 0.5000, 0.0000), Ge at (0.0000, 0.0000, 0.6641), Sb at (0.5000, 0.5000, 0.6541), O at (0.0000, 0.0000, 0.3034), O at (0.2382, 0.2382, 0.8185) and O at (0.5000, 0.5000, 0.2529).

Its total energy is -5.253 eV/atom.



7.
Density functional theory data (PBE+U) for an optimized crystal structure of Sc2NiGeO6.

The space group is R3 (No. 146, hexagonal axes) and the conventional cell measures 5.2118, 5.2118 and 13.8849 Å, with angles of 90.00, 90.00 and 120.00 degrees. The asymmetric unit holds Sc at (0.0000, 0.0000, 0.0000), Sc at (0.0000, 0.0000, 0.4990), Ni at (0.0000, 0.0000, 0.2123), Ge at (0.0000, 0.0000, 0.7072), O at (0.0377, 0.3350, 0.7737) and O at (0.0519, 0.6796, 0.2799).

Its total energy is -7.409 eV/atom.



8.
Density functional theory data (PBE+U) for an optimized crystal structure of Ni2GeSeO.

The space group is P4/mmm (No. 123) and the conventional cell measures 3.8395, 3.8395 and 5.3975 Å, with angles of 90.00, 90.00 and 90.00 degrees. The asymmetric unit holds Ni at (0.0000, 0.5000, 0.0000), Ge at (0.0000, 0.0000, 0.5000), Se at (0.5000, 0.5000, 0.5000) and O at (0.5000, 0.5000, 0.0000).

Its total energy is -3.466 eV/atom.



- total energy of number 2 (Pm2NiGeO6)?
  -7.128 eV/atom



- Which value of total energy does entry 1 give?
  -6.132 eV/atom